# RbBa2NpS5

A geometry-optimized RbBa2NpS5 structure (PBE, Alexandria via LeMat-Bulk).

Structure (extended XYZ):
```
9
Lattice="-2.565 3.848 7.412 2.565 -3.848 7.412 2.565 3.848 -7.412" Properties=species:S:1:pos:R:3 pbc="T T T"
Rb 0.000 0.000 0.000
Ba 2.565 0.000 4.266
Ba 0.000 3.848 3.146
Np 0.000 0.000 7.412
S 2.565 2.086 -1.927
S 2.565 2.086 1.927
S 0.000 3.848 0.000
S 0.000 1.762 5.485
S 0.000 1.762 9.339
```

Results
- E_tot: -5.87 eV per atom
- Symmetry: Immm (71)
- Fermi-level density of states: 4.58 states/eV/cell
- Volume: 32.52 Å³ per atom
- Formation energy (no corrections): -1608 meV per atom